Computed, not measured: Mo2P3O13 after structural relaxation at the PBE with a Hubbard U level of DFT.

Output
Crystal system: triclinic
Calculated density in Mg/m³: 2.96
Volume in A^3/atom: 15.3
Magnetic moment in Bohr magnetons per cell: 2.0
Energy relative to the lowest polymorph listed for this composition in meV/atom: 1

Cell and atoms, written as CIF:
```
data_Mo2P3O13
_cell_length_a 6.433
_cell_length_b 7.138
_cell_length_c 12.458
_cell_angle_alpha 81.46
_cell_angle_beta 87.23
_cell_angle_gamma 77.46
_space_group_name_H-M_alt 'P -1'
_space_group_IT_number 2
_space_group_name_Hall '-P 1'
loop_
_atom_site_label
_atom_site_fract_x
_atom_site_fract_y
_atom_site_fract_z
Mo1 0.201 0.171 0.126
Mo2 0.237 0.197 0.618
P1 0.130 0.392 0.349
P2 0.262 0.984 0.878
P3 0.276 0.748 0.314
O1 0.083 0.804 0.388
O2 0.098 0.499 0.646
O3 0.101 0.850 0.878
O4 0.158 0.409 0.073
O5 0.160 0.227 0.276
O6 0.222 0.155 0.788
O7 0.235 0.305 0.456
O8 0.245 0.059 0.989
O9 0.269 0.878 0.205
O10 0.274 0.534 0.285
O11 0.321 0.958 0.609
O12 0.479 0.725 0.377
O13 0.486 0.850 0.870
```